No. 1
# Rb2PuSO6

A relaxed Rb2PuSO6 crystal (GGA-PBE, Alexandria via LeMat-Bulk).

Values from the calculation:
SG: I4/mmm
D(E_F): 2.84 states/eV/f.u.
Formation energy without anion corrections: -16.86 eV/f.u.
Crystal system: tetragonal

Geometry as POSCAR:
```
Rb2PuSO6
1.0
-2.8084 2.8084 5.3282
2.8084 -2.8084 5.3282
2.8084 2.8084 -5.3282
Rb Pu S O
2 1 1 6
direct
0.2500 0.7500 0.5000
0.7500 0.2500 0.5000
0.0000 0.0000 0.0000
0.5000 0.5000 0.0000
0.1753 0.1753 0.0000
0.2781 0.2781 0.5562
0.2781 0.7219 0.0000
0.7219 0.2781 0.0000
0.7219 0.7219 0.4438
0.8247 0.8247 0.0000
```


No. 2
# La2Sb2Rh

A relaxed La2Sb2Rh crystal (GGA-PBE, Alexandria via LeMat-Bulk).

Values from the calculation:
SG: P4/mbm
D(E_F): 5.99 states/eV/f.u.
Formation energy without anion corrections: -4.22 eV/f.u.
Crystal system: tetragonal

Geometry as POSCAR:
```
La2Sb2Rh
1.0
7.2490 0.0000 0.0000
0.0000 7.2490 0.0000
0.0000 0.0000 5.0388
La Sb Rh
4 4 2
direct
0.1697 0.3303 0.0000
0.3303 0.8303 0.0000
0.6697 0.1697 0.0000
0.8303 0.6697 0.0000
0.1467 0.6467 0.5000
0.3533 0.1467 0.5000
0.6467 0.8533 0.5000
0.8533 0.3533 0.5000
0.0000 0.0000 0.5000
0.5000 0.5000 0.5000
```


No. 3
# UNi2Te3

A relaxed UNi2Te3 crystal (GGA-PBE, Alexandria via LeMat-Bulk).

Values from the calculation:
SG: P2_1/m
D(E_F): 7.39 states/eV/f.u.
Formation energy without anion corrections: -2.15 eV/f.u.
Crystal system: monoclinic

Geometry as POSCAR:
```
UNi2Te3
1.0
6.8394 0.0000 0.0000
0.0000 4.0380 0.0000
-1.0624 0.0000 10.7777
U Ni Te
2 4 6
direct
0.2260 0.2500 0.3263
0.7740 0.7500 0.6737
0.1119 0.7500 0.1267
0.4540 0.2500 0.5679
0.5460 0.7500 0.4321
0.8881 0.2500 0.8733
0.1065 0.7500 0.8857
0.2189 0.7500 0.5486
0.4699 0.7500 0.1942
0.5301 0.2500 0.8058
0.7811 0.2500 0.4514
0.8935 0.2500 0.1143
```


No. 4
# CaTc2Sn2

A relaxed CaTc2Sn2 crystal (GGA-PBE, Alexandria via LeMat-Bulk).

Values from the calculation:
SG: P4/mbm
D(E_F): 6.35 states/eV/f.u.
Formation enthalpy at 0 K: 0.3 eV/f.u.
Crystal system: tetragonal

Geometry as POSCAR:
```
CaTc2Sn2
1.0
7.9065 0.0000 0.0000
0.0000 7.9065 0.0000
0.0000 0.0000 3.1724
Ca Tc Sn
2 4 4
direct
0.0000 0.0000 0.0000
0.5000 0.5000 0.0000
0.1321 0.3679 0.0000
0.3679 0.8679 0.0000
0.6321 0.1321 0.0000
0.8679 0.6321 0.0000
0.1596 0.6596 0.5000
0.3404 0.1596 0.5000
0.6596 0.8404 0.5000
0.8404 0.3404 0.5000
```


No. 5
# MgAg2Sn

A relaxed MgAg2Sn crystal (GGA-PBE, Alexandria via LeMat-Bulk).

Values from the calculation:
SG: P4/mmm
D(E_F): 1.28 states/eV/f.u.
Formation enthalpy at 0 K: -0.4 eV/f.u.
Crystal system: tetragonal

Geometry as POSCAR:
```
MgAg2Sn
1.0
3.5924 0.0000 0.0000
0.0000 3.5924 0.0000
0.0000 0.0000 6.2657
Mg Ag Sn
1 2 1
direct
0.0000 0.0000 0.0000
0.5000 0.5000 0.2324
0.5000 0.5000 0.7676
0.0000 0.0000 0.5000
```


No. 6
# KIn2P

A relaxed KIn2P crystal (GGA-PBE, Alexandria via LeMat-Bulk).

Values from the calculation:
SG: P4mm
D(E_F): 2.71 states/eV/f.u.
Formation enthalpy at 0 K: -0.3 eV/f.u.
Crystal system: tetragonal

Geometry as POSCAR:
```
KIn2P
1.0
3.8130 0.0000 0.0000
0.0000 3.8130 0.0000
0.0000 0.0000 7.6945
K In P
1 2 1
direct
0.0000 0.0000 0.0000
0.0000 0.0000 0.4345
0.5000 0.5000 0.6723
0.5000 0.5000 0.3147
```


No. 7
# Cs4TeCl2

A relaxed Cs4TeCl2 crystal (GGA-PBE, Alexandria via LeMat-Bulk).

Values from the calculation:
SG: I4/mmm
Formation energy without anion corrections: -9.20 eV/f.u.
Crystal system: tetragonal

Geometry as POSCAR:
```
Cs4TeCl2
1.0
7.2439 0.0000 0.0000
0.0000 7.2439 0.0000
0.0000 0.0000 18.9399
Cs Te Cl
8 2 4
direct
0.0000 0.0000 0.1913
0.0000 0.0000 0.8087
0.0000 0.5000 0.0000
0.0000 0.5000 0.5000
0.5000 0.0000 0.0000
0.5000 0.0000 0.5000
0.5000 0.5000 0.3087
0.5000 0.5000 0.6913
0.0000 0.0000 0.0000
0.5000 0.5000 0.5000
0.0000 0.0000 0.3634
0.0000 0.0000 0.6366
0.5000 0.5000 0.1366
0.5000 0.5000 0.8634
```


No. 8
# Cu5As2

A relaxed Cu5As2 crystal (GGA-PBE, Alexandria via LeMat-Bulk).

Values from the calculation:
SG: P-1
D(E_F): 2.21 states/eV/f.u.
Formation enthalpy at 0 K: 0.3 eV/f.u.
Crystal system: triclinic

Geometry as POSCAR:
```
Cu5As2
1.0
5.5159 0.0000 0.0000
-0.0017 5.9834 0.0000
-0.0035 -2.9586 5.8649
Cu As
10 4
direct
0.0002 0.0856 0.2254
0.9998 0.9144 0.7746
0.2401 0.5005 0.4999
0.2570 0.3083 0.0485
0.2576 0.6925 0.9517
0.4994 0.2850 0.7001
0.5006 0.7150 0.2999
0.7424 0.3075 0.0483
0.7430 0.6917 0.9515
0.7599 0.4995 0.5001
0.0003 0.2874 0.6986
0.9997 0.7126 0.3014
0.4994 0.1165 0.2700
0.5006 0.8835 0.7300
```


| no. | raw total energy (eV/atom) |
| --- | --- |
| 1 | -6.700 |
| 2 | -5.934 |
| 3 | -5.738 |
| 4 | -6.097 |
| 5 | -2.929 |
| 6 | -3.083 |
| 7 | -2.779 |
| 8 | -4.207 |